! meta-GGA SCAN MgC2Br, PBEsol geometry; values from VASP
! DOS(E_F): 9.4 states/eV per cell
! DFT total energy: -136.86 eV for the cell shown
! Crystal system: cubic
! Symmetry: Fm-3m
! M_tot: 0.01 μB/cell
! Energy relative to the elements, uncorrected: 2.604 eV/atom
&SYSTEM
  ibrav = 0, nat = 16, ntyp = 3
/
ATOMIC_SPECIES
Mg 24.30 Mg.upf
C 12.01 C.upf
Br 79.90 Br.upf
CELL_PARAMETERS angstrom
5.901 0.000 0.000
0.000 5.901 0.000
0.000 0.000 5.901
ATOMIC_POSITIONS angstrom
Mg 0.000 0.000 0.000
Mg 0.000 2.951 2.951
Mg 2.951 0.000 2.951
Mg 2.951 2.951 0.000
C 1.475 1.475 1.475
C 1.475 1.475 4.426
C 1.475 4.426 1.475
C 1.475 4.426 4.426
C 4.426 1.475 1.475
C 4.426 1.475 4.426
C 4.426 4.426 1.475
C 4.426 4.426 4.426
Br 0.000 0.000 2.951
Br 0.000 2.951 0.000
Br 2.951 0.000 0.000
Br 2.951 2.951 2.951